# 1
Here is Li2AgF4 after structural relaxation from Alexandria. Energies are from GGA-PBE.

Lattice parameters (Å, degrees): 8.892 8.892 8.892 105.03 105.03 105.03
Element x y z (fractional)
Li  0.282  0.099  0.853
Li  0.147  0.718  0.901
Li  0.387  0.542  0.818
Li  0.458  0.182  0.613
Li  0.901  0.147  0.718
Li  0.182  0.613  0.458
Li  0.818  0.387  0.542
Li  0.099  0.853  0.282
Li  0.542  0.818  0.387
Li  0.613  0.458  0.182
Li  0.853  0.282  0.099
Li  0.718  0.901  0.147
Ag  0.818  0.524  0.877
Ag  0.524  0.877  0.818
Ag  0.123  0.182  0.476
Ag  0.877  0.818  0.524
Ag  0.476  0.123  0.182
Ag  0.182  0.476  0.123
F  0.266  0.576  0.957
F  0.062  0.035  0.715
F  0.285  0.938  0.965
F  0.424  0.043  0.734
F  0.965  0.285  0.938
F  0.611  0.712  0.928
F  0.344  0.327  0.687
F  0.313  0.656  0.673
F  0.673  0.313  0.656
F  0.928  0.611  0.712
F  0.288  0.072  0.389
F  0.957  0.266  0.576
F  0.043  0.734  0.424
F  0.712  0.928  0.611
F  0.072  0.389  0.288
F  0.327  0.687  0.344
F  0.687  0.344  0.327
F  0.656  0.673  0.313
F  0.389  0.288  0.072
F  0.035  0.715  0.062
F  0.576  0.957  0.266
F  0.715  0.062  0.035
F  0.938  0.965  0.285
F  0.734  0.424  0.043

ΔE_f (raw) ... -205.14 kJ per mole of atoms



# 2
Here is CaAg2BiRu after structural relaxation from Alexandria. Energies are from GGA-PBE.

Lattice parameters (Å, degrees): 5.165 5.040 5.165 90.00 90.00 90.00
Element x y z (fractional)
Ru  0.000  0.000  0.000
Ca  0.000  0.500  0.000
Bi  0.500  0.500  0.500
Ag  0.000  0.000  0.500
Ag  0.500  0.000  0.000

Formation enthalpy at 0 K ... 689 meV per atom